# 1
VASP calculation (PBE) on a geometry-optimized NpTl5O5 structure.

Unit cell a=13.0255 b=4.3429 c=9.1111 alpha=90.00 beta=107.22 gamma=90.00
Space group C2/m (No. 12)
Asymmetric unit:
Np: 0.0000 0.0000 0.0000 [2 per cell]
Tl: 0.0000 0.0000 0.5000 [2 per cell]
Tl: 0.1575 0.5000 0.3426 [4 per cell]
Tl: 0.1729 0.5000 0.8236 [4 per cell]
O: 0.0000 0.5000 0.0000 [2 per cell]
O: 0.0660 0.0000 0.2344 [4 per cell]
O: 0.1508 0.0000 0.9729 [4 per cell]

Output
Energy relative to the elements, uncorrected in eV per atom: -1.36



# 2
VASP calculation (PBE) on a geometry-optimized TmFe2Ge structure.

Unit cell a=3.6840 b=3.6840 c=9.7638 alpha=90.00 beta=90.00 gamma=90.00
Space group P4/nmm (No. 129, origin choice 2)
Asymmetric unit:
Tm: 0.2500 0.2500 0.2240 [2 per cell]
Fe: 0.2500 0.2500 0.9407 [2 per cell]
Fe: 0.2500 0.7500 0.5000 [2 per cell]
Ge: 0.2500 0.2500 0.6620 [2 per cell]

Output
ΔE_f in eV per formula unit: -0.79



# 3
VASP calculation (PBE) on a geometry-optimized Sc2BeAlIr structure.

Unit cell a=5.0102 b=5.0102 c=4.2802 alpha=90.00 beta=90.00 gamma=90.00
Space group P4/mmm (No. 123)
Asymmetric unit:
Sc: 0.0000 0.5000 0.0000 [2 per cell]
Be: 0.0000 0.0000 0.5000 [1 per cell]
Al: 0.5000 0.5000 0.5000 [1 per cell]
Ir: 0.0000 0.0000 0.0000 [1 per cell]

Output
ΔE_f in eV per formula unit: -0.23



# 4
VASP calculation (PBE) on a geometry-optimized In2TcTe structure.

Unit cell a=10.0038 b=3.2528 c=6.6948 alpha=90.00 beta=109.40 gamma=90.00
Space group Cm (No. 8)
Asymmetric unit:
In: 0.0000 0.0000 0.0000 [2 per cell]
In: 0.1945 0.0000 0.6834 [2 per cell]
Tc: 0.2345 0.5000 0.0367 [2 per cell]
Te: 0.3418 0.0000 0.3623 [2 per cell]

Output
Energy relative to the elements, uncorrected in eV per atom: 0.10



# 5
VASP calculation (PBE) on a geometry-optimized PaCoSbPd structure.

Unit cell a=6.7056 b=6.7056 c=6.7056 alpha=90.00 beta=90.00 gamma=90.00
Space group F-43m (No. 216)
Asymmetric unit:
Pa: 0.0000 0.0000 0.0000 [4 per cell]
Co: 0.2500 0.2500 0.7500 [4 per cell]
Sb: 0.0000 0.0000 0.5000 [4 per cell]
Pd: 0.2500 0.2500 0.2500 [4 per cell]

Output
Energy relative to the elements, uncorrected in eV per atom: -0.35



# 6
VASP calculation (PBE) on a geometry-optimized RbLa2I6 structure.

Unit cell a=18.6662 b=11.1761 c=7.5891 alpha=90.00 beta=103.76 gamma=90.00
Space group C2/c (No. 15)
Asymmetric unit:
Rb: 0.0000 0.2475 0.2500 [4 per cell]
La: 0.2502 0.0014 0.0011 [8 per cell]
I: 0.1108 0.0676 0.6696 [8 per cell]
I: 0.1106 0.4318 0.6675 [8 per cell]
I: 0.1986 0.2502 0.2203 [8 per cell]

Output
Energy relative to the elements, uncorrected in eV per atom: -1.46



# 7
VASP calculation (PBE) on a geometry-optimized AlPtI6 structure.

Unit cell a=8.0803 b=12.7985 c=7.4613 alpha=90.00 beta=119.63 gamma=90.00
Space group C2/m (No. 12)
Asymmetric unit:
Al: 0.0000 0.0000 0.0000 [2 per cell]
Pt: 0.0000 0.5000 0.5000 [2 per cell]
I: 0.1635 0.0000 0.7504 [4 per cell]
I: 0.2270 0.3555 0.7499 [8 per cell]

Output
Energy relative to the elements, uncorrected in eV per atom: -0.28



# 8
VASP calculation (PBE) on a geometry-optimized SmMnCo2 structure.

Unit cell a=4.0261 b=4.0261 c=14.5785 alpha=90.00 beta=90.00 gamma=120.00
Space group R-3m (No. 166, hexagonal axes)
Asymmetric unit:
Sm: 0.0000 0.0000 0.0000 [3 per cell]
Mn: 0.0000 0.0000 0.5000 [3 per cell]
Co: 0.0000 0.0000 0.1944 [6 per cell]

Output
ΔE_f in eV per formula unit: 0.00



# 9
VASP calculation (PBE) on a geometry-optimized MgBe2In2 structure.

Unit cell a=3.9111 b=3.9111 c=12.0855 alpha=90.00 beta=90.00 gamma=90.00
Space group I4/mmm (No. 139)
Asymmetric unit:
Mg: 0.0000 0.0000 0.0000 [2 per cell]
Be: 0.0000 0.5000 0.2500 [4 per cell]
In: 0.0000 0.0000 0.3814 [4 per cell]

Output
ΔE_f in eV per formula unit: 1.82



# 10
VASP calculation (PBE) on a geometry-optimized CaReF2 structure.

Unit cell a=3.8686 b=3.8686 c=15.6746 alpha=90.00 beta=90.00 gamma=120.00
Space group R-3m (No. 166, hexagonal axes)
Asymmetric unit:
Ca: 0.0000 0.0000 0.0000 [3 per cell]
Re: 0.0000 0.0000 0.5000 [3 per cell]
F: 0.0000 0.0000 0.1412 [6 per cell]

Output
Energy relative to the elements, uncorrected in eV per atom: -0.60



The following theoretical density values (in Mg/m³) correspond, in order, to the records above: 9.03 8.85 4.92 7.36 11.41 4.86 4.87 7.87 4.89 6.48.
The following volume values (in Å³/cell) correspond, in order, to the records above: 492.3 132.5 107.4 205.5 301.5 1537.8 670.7 204.7 184.9 203.2.